This record from the Alexandria database describes a geometry-optimized YZrW2 structure. The functional is PBE.

Computed properties:
As for the crystal system: tetragonal. The total magnetic moment comes out at 0.000 μB per cell. The energy is -0.7053 Ry per atom. The calculation puts the density of states at the Fermi level at 5.8 states/eV/cell.

```
YZrW2
1.0
-4.460 -1.379 2.027
2.395 -3.345 2.995
0.319 2.194 2.195
W Y Zr
2 1 1
direct
0.500 0.500 0.000 W
0.000 0.000 0.000 W
0.500 0.000 0.500 Y
0.000 0.500 0.500 Zr
```

=====

This record from the Alexandria database describes a geometry-optimized Ac2AlPb structure. The functional is PBE.

Computed properties:
As for the crystal system: trigonal. The total magnetic moment comes out at 0.000 μB per cell. The energy is -0.2843 Ry per atom. The calculation puts the density of states at the Fermi level at 3.3 states/eV/cell.

```
Ac2AlPb
1.0
-1.902 -3.166 -1.117
0.227 -3.229 2.101
-9.907 1.278 6.580
Ac Al Pb
2 1 1
direct
0.902 0.902 0.295 Ac
0.098 0.098 0.705 Ac
0.500 0.500 0.500 Al
0.000 0.000 0.000 Pb
```

=====

This record from the Alexandria database describes a geometry-optimized NaLiTl2Br5 structure. The functional is PBE.

Computed properties:
As for the crystal system: orthorhombic. The total magnetic moment comes out at 0.000 μB per cell. The uncorrected formation energy comes out at -1013.1 meV per atom. The calculation puts the density of states at the Fermi level at 7.8 states/eV/cell.

```
NaLiTl2Br5
1.0
-0.789 -3.130 2.546
5.487 -4.376 -6.999
11.310 2.891 7.058
Li Br Tl Na
2 10 4 2
direct
0.544 0.087 0.940 Li
0.456 0.913 0.440 Li
0.967 0.934 0.539 Br
0.334 0.668 0.365 Br
0.476 0.952 0.782 Br
0.666 0.332 0.865 Br
0.033 0.066 0.039 Br
0.336 0.672 0.991 Br
0.664 0.328 0.491 Br
0.524 0.048 0.282 Br
0.712 0.424 0.180 Br
0.288 0.576 0.680 Br
0.894 0.788 0.188 Tl
0.142 0.284 0.322 Tl
0.106 0.212 0.688 Tl
0.858 0.716 0.822 Tl
0.183 0.367 0.017 Na
0.817 0.633 0.517 Na
```

=====

This record from the Alexandria database describes a geometry-optimized Ce2IrSe structure. The functional is PBE.

Computed properties:
As for the crystal system: trigonal. The total magnetic moment comes out at 1.397 μB per cell. The uncorrected formation energy comes out at -1165.0 meV per atom. The calculation puts the density of states at the Fermi level at 10.7 states/eV/cell.

```
Ce2IrSe
1.0
4.030 0.000 0.000
2.015 3.490 0.000
2.015 1.163 7.365
Se Ce Ir
1 2 1
direct
0.499 0.499 0.504 Se
0.073 0.073 0.780 Ce
0.260 0.260 0.220 Ce
0.668 0.668 0.996 Ir
```

=====

This record from the Alexandria database describes a geometry-optimized DyGa2Ru structure. The functional is PBE.

Computed properties:
As for the crystal system: orthorhombic. The total magnetic moment comes out at 0.000 μB per cell. The energy is -0.4021 Ry per atom. The calculation puts the density of states at the Fermi level at 4.1 states/eV/cell.

```
DyGa2Ru
1.0
-2.484 2.655 -1.189
-3.954 -2.990 1.584
0.249 3.313 6.875
Dy Ga Ru
2 4 2
direct
0.000 0.132 0.500 Dy
0.500 0.868 0.000 Dy
0.500 0.331 0.775 Ga
0.000 0.669 0.275 Ga
0.000 0.669 0.725 Ga
0.500 0.331 0.225 Ga
0.500 0.634 0.500 Ru
0.000 0.366 0.000 Ru
```

=====

This record from the Alexandria database describes a geometry-optimized CeHoMgMn structure. The functional is PBE.

Computed properties:
As for the crystal system: cubic. The total magnetic moment comes out at 2.059 μB per cell. The energy is -0.3808 Ry per atom. The calculation puts the density of states at the Fermi level at 5.9 states/eV/cell.

```
CeHoMgMn
1.0
-3.532 3.087 2.152
-4.954 -0.379 -1.398
-3.468 -1.946 3.290
Ho Mn Mg Ce
1 1 1 1
direct
0.500 0.500 0.500 Ho
0.250 0.250 0.250 Mn
0.750 0.750 0.750 Mg
0.000 0.000 0.000 Ce
```